Record 1
A plane-wave DFT calculation with PBE-GGA was carried out for an optimized crystal structure of Ce2Tl5Br12.

M_tot, μB per formula unit: 0.9
Calculated total energy, Ry/atom: -0.2601
Uncorrected formation energy, kJ per mole of atoms: -119.1

Unit cell a=8.707 b=10.126 c=10.807 alpha=107.59 beta=90.00 gamma=115.46
Each line ends with the local moment (μB).
Atoms (fractional coordinates):
Ce: 0.749 0.000 0.000  0.50
Ce: 0.251 0.000 0.000  0.50
Tl: 0.281 0.562 0.620  0.00
Tl: 0.322 0.644 0.234  0.00
Tl: 0.000 0.000 0.500  0.00
Tl: 0.678 0.356 0.766  0.00
Tl: 0.719 0.438 0.380  0.00
Br: 0.010 0.020 0.183  -0.01
Br: 0.100 0.683 0.931  -0.02
Br: 0.583 0.683 0.931  -0.02
Br: 0.112 0.714 0.451  0.00
Br: 0.602 0.714 0.451  0.00
Br: 0.491 0.983 0.814  -0.01
Br: 0.509 0.017 0.186  -0.01
Br: 0.888 0.286 0.549  0.00
Br: 0.398 0.286 0.549  0.00
Br: 0.900 0.317 0.069  -0.02
Br: 0.417 0.317 0.069  -0.02
Br: 0.990 0.980 0.817  -0.01


Record 2
A plane-wave DFT calculation with PBE-GGA was carried out for an optimized crystal structure of BeInS2N.

Relative energy among the computed polymorphs, eV per atom: 0.929
M_tot, μB per formula unit: 2.2
Calculated total energy, Ry/atom: -0.2416
Uncorrected formation energy, kJ per mole of atoms: 127.6

Unit cell a=5.077 b=5.077 c=4.028 alpha=90.00 beta=90.00 gamma=90.00
Each line ends with the local moment (μB).
Atoms (fractional coordinates):
Be: 0.500 0.500 0.500  0.00
S: 0.000 0.500 0.000  0.18
S: 0.500 0.000 0.000  0.18
N: 0.000 0.000 0.500  1.12
In: 0.000 0.000 0.000  0.01


Record 3
A plane-wave DFT calculation with PBE-GGA was carried out for an optimized crystal structure of Pm3Dy2HoTe6.

M_tot, μB per formula unit: 0.0
Calculated total energy, Ry/atom: -0.3857
Uncorrected formation energy, kJ per mole of atoms: -129.4

Unit cell a=4.368 b=8.895 c=9.885 alpha=103.95 beta=102.77 gamma=90.00
Atoms (fractional coordinates):
Pm: 0.500 0.500 0.000
Pm: 0.833 0.167 0.666
Pm: 0.167 0.833 0.334
Dy: 0.833 0.666 0.666
Dy: 0.167 0.334 0.334
Ho: 0.500 0.000 0.000
Te: 0.336 0.912 0.672
Te: 0.669 0.577 0.337
Te: 0.664 0.088 0.328
Te: 0.002 0.243 0.004
Te: 0.998 0.757 0.996
Te: 0.331 0.423 0.663